The following is a PBE calculation of crystalline TcPIr at its relaxed geometry, from the Alexandria database.

ρ = 12.00 Mg/m³
space-group type = Pm
raw total energy = -50.89 eV per cell

Cell lengths 4.3051, 3.6945, 5.8327 Å; angles 90.00, 106.69, 90.00 degrees
Last column: nearest neighbours and their distance in Å.
Sites, in units of the cell vectors:
Tc1 0.8042 0.5000 0.5113  3 P 2.37-2.42
Tc2 0.3917 0.0000 0.1351  4 P 2.33-2.43
Ir1 0.3647 0.0000 0.6394  3 P 2.26-2.34
Ir2 0.8376 0.5000 0.0286  4 P 2.34-2.39
P1 0.9532 0.0000 0.2961  3 Ir 2.26-2.38, 4 Tc 2.33-2.42
P2 0.2620 0.5000 0.8527  4 Ir 2.34-2.39, 3 Tc 2.37-2.43